CsAgSe2 | GGA-PBE | relaxed

Lattice parameters (Å, degrees): 9.481 9.481 9.481 25.58 25.58 25.58
Sites, in units of the cell vectors:
Cs 0.000 0.000 0.000
Ag 0.500 0.500 0.500
Se 0.880 0.880 0.880
Se 0.120 0.120 0.120

Output
raw formation energy	-0.1	eV/f.u.